Here is crystalline SbCl6O2 at its relaxed geometry from Alexandria. Energies are from PBE.

* energy above the most stable polymorph in this dataset: 458 meV/atom
* formation energy from raw total energies: 0.104 eV/atom

abc: 7.254 7.254 13.641
angles: 68.87 68.87 59.16
Element x y z (fractional)
Cl 0.077 0.731 0.906
Cl 0.185 0.167 0.337
Cl 0.269 0.923 0.594
Cl 0.815 0.833 0.663
Cl 0.647 0.229 0.952
Cl 0.833 0.815 0.163
Cl 0.771 0.353 0.548
Cl 0.167 0.185 0.837
Cl 0.923 0.269 0.094
Cl 0.353 0.771 0.048
Cl 0.731 0.077 0.406
Cl 0.229 0.647 0.452
O 0.195 0.985 0.198
O 0.985 0.195 0.698
O 0.805 0.015 0.802
O 0.015 0.805 0.302
Sb 0.000 0.000 0.000
Sb 0.000 0.000 0.500

Here is crystalline CaRu3 at its relaxed geometry from Alexandria. Energies are from PBE.

* E: -6.91 eV per atom

abc: 5.487 5.487 4.596
angles: 90.00 90.00 99.62
Element x y z (fractional)
Ru 0.599 0.057 0.250
Ru 0.074 0.926 0.250
Ru 0.057 0.599 0.750
Ru 0.926 0.074 0.750
Ru 0.401 0.943 0.750
Ru 0.943 0.401 0.250
Ca 0.430 0.570 0.250
Ca 0.570 0.430 0.750

Here is crystalline RbBaNb at its relaxed geometry from Alexandria. Energies are from PBE.

* energy above the most stable polymorph in this dataset: 292 meV/atom

abc: 11.251 6.866 3.633
angles: 96.99 95.30 77.86
Element x y z (fractional)
Ba 0.283 0.510 0.780
Ba 0.095 0.060 0.586
Rb 0.848 0.642 0.073
Rb 0.633 0.209 0.919
Nb 0.370 0.986 0.148
Nb 0.496 0.757 0.482

Here is crystalline InSb2H at its relaxed geometry from Alexandria. Energies are from PBE.

* energy above the most stable polymorph in this dataset: 0 meV/atom

abc: 6.621 6.621 6.317
angles: 58.40 58.40 90.00
Element x y z (fractional)
Sb 0.875 0.762 0.750
Sb 0.512 0.125 0.250
Sb 0.238 0.625 0.250
Sb 0.375 0.488 0.750
H 0.500 0.500 0.000
H 0.250 0.750 0.500
In 0.750 0.250 0.500
In 0.000 0.000 0.000

Here is crystalline Ac3PrHg6 at its relaxed geometry from Alexandria. Energies are from PBE.

* energy above the most stable polymorph in this dataset: 606 meV/atom

abc: 8.271 8.271 8.271
angles: 60.00 60.00 60.00
Element x y z (fractional)
Ac 0.250 0.250 0.250
Ac 0.750 0.750 0.750
Ac 0.500 0.500 0.500
Hg 0.755 0.755 0.245
Hg 0.245 0.245 0.755
Hg 0.245 0.755 0.755
Hg 0.755 0.245 0.755
Hg 0.755 0.245 0.245
Hg 0.245 0.755 0.245
Pr 0.000 0.000 0.000

Here is crystalline VBi2OsRh at its relaxed geometry from Alexandria. Energies are from PBE.

* E: -5.57 eV per atom

abc: 5.211 5.211 4.799
angles: 90.00 90.00 90.00
Element x y z (fractional)
Bi 0.500 0.000 0.000
Bi 0.000 0.500 0.000
Rh 0.000 0.000 0.500
V 0.500 0.500 0.500
Os 0.000 0.000 0.000